Ti2SnPb2: optimized geometry, PBE.

a b c (Å): 3.681 3.681 9.589
angles (deg): 78.93 78.93 90.00
Positions (direct):
1 Sn 0.000 0.000 0.000
2 Pb 0.387 0.387 0.227
3 Pb 0.613 0.613 0.773
4 Ti 0.750 0.250 0.500
5 Ti 0.250 0.750 0.500

Summary:
As for the formation energy: 0.35 eV/atom. As for the density of states at the Fermi level: 1.139 states/eV/atom. As for the relative energy among the computed polymorphs: 8.29 kcal/mol of atoms. The value obtained for the calculated density is 8.35 g/cm3. The total magnetization is 0.000 Bohr magnetons per cell.